(1)
# LiTb2Pd3

An optimized crystal structure of LiTb2Pd3 (PBE-GGA, Alexandria).

```
data_LiTb2Pd3
_chemical_formula_sum 'Li2 Tb4 Pd6'
_cell_length_a 4.8603
_cell_length_b 4.8603
_cell_length_c 11.6099
_cell_angle_alpha 90.00
_cell_angle_beta 90.00
_cell_angle_gamma 120.00
_space_group_name_H-M_alt 'P -3 m 1'
_space_group_IT_number 164
_space_group_name_Hall '-P 3 2"'
loop_
_atom_site_label
_atom_site_type_symbol
_atom_site_fract_x
_atom_site_fract_y
_atom_site_fract_z
_atom_site_occupancy
Li1 Li 0.3333 0.6667 0.1657 1
Tb1 Tb 0.0000 0.0000 0.0000 1
Tb2 Tb 0.0000 0.0000 0.5000 1
Tb3 Tb 0.3333 0.6667 0.6859 1
Pd1 Pd 0.0000 0.0000 0.2494 1
Pd2 Pd 0.3333 0.6667 0.4163 1
Pd3 Pd 0.3333 0.6667 0.9311 1
```

Energy relative to the lowest polymorph listed for this composition: 8 kJ/mol of formula units
Calculated total energy: -62.4 eV for the cell shown
Energy of formation from the pure elements: -430 kJ/mol of formula units

---

(2)
# TiCrCuS4

An optimized crystal structure of TiCrCuS4 (PBE-GGA, Alexandria).

```
data_TiCrCuS4
_chemical_formula_sum 'Ti4 Cr4 Cu4 S16'
_cell_length_a 5.747
_cell_length_b 6.971
_cell_length_c 12.052
_cell_angle_alpha 90.17
_cell_angle_beta 90.39
_cell_angle_gamma 90.82
_space_group_name_H-M_alt 'P -1'
_space_group_IT_number 2
loop_
_space_group_symop_operation_xyz
'x,y,z'
'-x,-y,-z'
loop_
_atom_site_label
_atom_site_type_symbol
_atom_site_fract_x
_atom_site_fract_y
_atom_site_fract_z
_atom_site_occupancy
Ti1 Ti 0.000 0.000 0.000 1
Ti2 Ti 0.020 0.234 0.752 1
Ti3 Ti 0.500 0.500 0.500 1
Cr1 Cr 0.000 0.500 0.000 1
Cr2 Cr 0.488 0.263 0.246 1
Cr3 Cr 0.500 0.000 0.500 1
Cu1 Cu 0.102 0.261 0.414 1
Cu2 Cu 0.390 0.241 0.910 1
S1 S 0.223 0.751 0.085 1
S2 S 0.234 0.503 0.831 1
S3 S 0.240 0.978 0.829 1
S4 S 0.243 0.256 0.084 1
S5 S 0.258 0.243 0.587 1
S6 S 0.265 0.516 0.330 1
S7 S 0.271 0.003 0.331 1
S8 S 0.284 0.750 0.587 1
```

Energy relative to the lowest polymorph listed for this composition: 44 kJ/mol of formula units
Calculated total energy: -176.0 eV for the cell shown
E_form (uncorrected): -0.8383 eV/atom